[1]
The following is a DFT calculation (PBE-GGA) of a relaxed structure of Rb2CaAs2S6.

The structure in POSCAR format:
```
Rb2CaAs2S6
1.0
6.244 -3.585 0.000
6.244 3.585 0.000
-4.297 0.000 7.171
Rb Ca As S
2 1 2 6
Cartesian
1.754 0.000 1.527 Rb
6.437 0.000 5.644 Rb
-2.148 0.000 3.585 Ca
2.271 0.000 5.912 As
5.920 0.000 1.259 As
4.725 1.808 1.440 S
0.481 0.000 4.699 S
3.466 1.808 5.731 S
4.725 -1.808 1.440 S
7.709 0.000 2.472 S
3.466 -1.808 5.731 S
```

The value obtained for the formation energy from raw total energies is -0.78 eV/atom. The calculation puts the size of the total moment at 0.000 μB per formula unit. As for the space-group type: No. 12. The volume is 29.19 A^3/atom. For the electronic total energy, the calculation gives -4.2361 eV/atom.



[2]
The following is a DFT calculation (PBE-GGA) of a relaxed structure of SbTeSN2.

The structure in POSCAR format:
```
SbTeSN2
1.0
4.083 0.000 0.000
0.000 4.083 0.000
0.000 0.000 5.344
Sb Te S N
1 1 1 2
Cartesian
0.000 0.000 0.000 Sb
2.041 2.041 2.672 Te
0.000 0.000 2.672 S
0.000 2.041 0.000 N
2.041 0.000 0.000 N
```

The value obtained for the formation energy from raw total energies is 1.25 eV/atom. The calculation puts the size of the total moment at 1.579 μB per formula unit. The value obtained for the energy above the most stable polymorph in this dataset is 0 meV/atom. As for the space-group type: No. 123. The volume is 17.81 A^3/atom. For the electronic total energy, the calculation gives -4.3570 eV/atom.



[3]
The following is a DFT calculation (PBE-GGA) of a relaxed structure of PmY8Ho6.

The structure in POSCAR format:
```
PmY8Ho6
1.0
4.520 2.610 6.881
-4.520 2.610 6.881
0.000 -5.220 6.881
Pm Y Ho
1 8 6
Cartesian
0.000 0.000 0.000 Pm
-2.871 -1.525 10.839 Y
-0.115 -3.248 9.805 Y
-2.756 1.724 9.805 Y
0.000 0.000 8.738 Y
0.000 0.000 11.906 Y
2.756 -1.724 10.839 Y
0.115 3.248 10.839 Y
2.871 1.525 9.805 Y
-0.544 -1.927 6.047 Ho
-1.397 1.435 6.047 Ho
-1.941 -0.492 14.598 Ho
1.941 0.492 6.047 Ho
1.397 -1.435 14.598 Ho
0.544 1.927 14.598 Ho
```

The calculation puts the size of the total moment at 0.000 μB per formula unit. As for the space-group type: No. 148. The volume is 32.47 A^3/atom. For the electronic total energy, the calculation gives -5.4610 eV/atom.



[4]
The following is a DFT calculation (PBE-GGA) of a relaxed structure of Te2RuCl.

The structure in POSCAR format:
```
Te2RuCl
1.0
3.271 0.000 0.000
0.000 4.820 0.000
0.000 0.000 5.417
Te Ru Cl
2 1 1
Cartesian
0.000 0.000 0.000 Te
1.636 2.410 2.709 Te
0.000 0.000 2.709 Ru
1.636 2.410 0.000 Cl
```

The value obtained for the formation energy from raw total energies is 0.27 eV/atom. The calculation puts the size of the total moment at 0.000 μB per formula unit. The value obtained for the energy above the most stable polymorph in this dataset is 472 meV/atom. As for the space-group type: No. 47. The volume is 21.35 A^3/atom. For the electronic total energy, the calculation gives -4.0841 eV/atom.



[5]
The following is a DFT calculation (PBE-GGA) of a relaxed structure of Cd2C.

The structure in POSCAR format:
```
Cd2C
1.0
1.568 -6.318 0.000
1.568 6.318 0.000
0.000 0.000 5.194
Cd C
4 2
Cartesian
1.568 5.380 3.896 Cd
1.568 3.640 1.299 Cd
1.568 -3.640 3.896 Cd
1.568 -5.380 1.299 Cd
1.568 0.861 3.896 C
1.568 -0.861 1.299 C
```

The calculation puts the size of the total moment at 0.000 μB per formula unit. The value obtained for the energy above the most stable polymorph in this dataset is 685 meV/atom. As for the space-group type: No. 63. The volume is 17.15 A^3/atom. For the electronic total energy, the calculation gives -2.2558 eV/atom.



[6]
The following is a DFT calculation (PBE-GGA) of a relaxed structure of Zn6PdPt5.

The structure in POSCAR format:
```
Zn6PdPt5
1.0
4.534 0.000 0.000
0.000 5.775 0.000
-1.002 0.000 6.678
Zn Pd Pt
6 1 5
Cartesian
0.000 1.442 0.000 Zn
0.000 4.333 0.000 Zn
0.853 1.442 4.448 Zn
0.853 4.332 4.448 Zn
2.680 1.442 2.230 Zn
2.680 4.332 2.230 Zn
2.267 0.000 0.000 Pd
0.409 0.000 2.210 Pt
0.417 2.887 2.217 Pt
2.267 2.887 0.000 Pt
3.115 2.887 4.461 Pt
3.124 0.000 4.468 Pt
```

The calculation puts the size of the total moment at 0.000 μB per formula unit. As for the space-group type: No. 10. The volume is 14.57 A^3/atom. For the electronic total energy, the calculation gives -4.1644 eV/atom.



[7]
The following is a DFT calculation (PBE-GGA) of a relaxed structure of MgAlBi2Au.

The structure in POSCAR format:
```
MgAlBi2Au
1.0
5.428 0.000 0.000
0.000 5.428 0.000
0.000 0.000 5.089
Mg Al Bi Au
1 1 2 1
Cartesian
0.000 0.000 0.000 Mg
0.000 0.000 2.545 Al
0.000 2.714 2.545 Bi
2.714 0.000 2.545 Bi
2.714 2.714 0.000 Au
```

The calculation puts the size of the total moment at 0.000 μB per formula unit. As for the space-group type: No. 123. The volume is 29.98 A^3/atom. For the electronic total energy, the calculation gives -2.7178 eV/atom.



[8]
The following is a DFT calculation (PBE-GGA) of a relaxed structure of MnPb.

The structure in POSCAR format:
```
MnPb
1.0
5.443 0.000 0.000
0.000 3.331 0.000
0.000 0.000 4.875
Mn Pb
2 2
Cartesian
1.361 0.000 1.055 Mn
4.082 0.000 3.820 Mn
1.361 1.666 3.534 Pb
4.082 1.666 1.341 Pb
```

The calculation puts the size of the total moment at 3.824 μB per formula unit. As for the space-group type: No. 51. The volume is 22.10 A^3/atom. For the electronic total energy, the calculation gives -5.9252 eV/atom.



[9]
The following is a DFT calculation (PBE-GGA) of a relaxed structure of MgPaZnIr.

The structure in POSCAR format:
```
MgPaZnIr
1.0
0.000 3.372 3.372
3.372 0.000 3.372
3.372 3.372 0.000
Mg Pa Zn Ir
1 1 1 1
Cartesian
0.000 0.000 0.000 Mg
3.372 3.372 3.372 Pa
5.059 5.059 5.059 Zn
1.686 1.686 1.686 Ir
```

The calculation puts the size of the total moment at 0.000 μB per formula unit. As for the space-group type: No. 216. The volume is 19.18 A^3/atom. For the electronic total energy, the calculation gives -5.6468 eV/atom.



[10]
The following is a DFT calculation (PBE-GGA) of a relaxed structure of PrY2ZrN4.

The structure in POSCAR format:
```
PrY2ZrN4
1.0
5.986 0.000 0.000
0.000 3.463 0.000
-1.988 0.000 5.702
Pr Y Zr N
1 2 1 4
Cartesian
0.000 0.000 0.000 Pr
1.999 0.000 2.851 Y
2.993 1.731 0.000 Y
-0.994 1.731 2.851 Zr
-0.013 0.000 4.170 N
0.956 1.731 1.540 N
3.042 1.731 4.162 N
4.011 0.000 1.531 N
```

The value obtained for the formation energy from raw total energies is -1.56 eV/atom. The calculation puts the size of the total moment at 0.000 μB per formula unit. As for the space-group type: No. 10. The volume is 14.77 A^3/atom. For the electronic total energy, the calculation gives -9.0047 eV/atom.



[11]
The following is a DFT calculation (PBE-GGA) of a relaxed structure of UAlCo5.

The structure in POSCAR format:
```
UAlCo5
1.0
4.323 0.000 0.000
0.000 4.323 0.000
0.000 0.000 5.040
U Al Co
1 1 5
Cartesian
0.000 0.000 0.000 U
2.162 2.162 2.520 Al
0.000 2.162 1.262 Co
0.000 2.162 3.778 Co
2.162 0.000 1.262 Co
2.162 0.000 3.778 Co
2.162 2.162 0.000 Co
```

The calculation puts the size of the total moment at 0.000 μB per formula unit. As for the space-group type: No. 123. The volume is 13.46 A^3/atom. For the electronic total energy, the calculation gives -7.2503 eV/atom.



[12]
The following is a DFT calculation (PBE-GGA) of a relaxed structure of Ho4ZnCu2Ni.

The structure in POSCAR format:
```
Ho4ZnCu2Ni
1.0
2.442 1.410 7.968
-2.442 1.410 7.968
0.000 -2.820 7.968
Ho Zn Cu Ni
4 1 2 1
Cartesian
0.000 0.000 2.885 Ho
0.000 0.000 8.876 Ho
0.000 0.000 15.028 Ho
0.000 0.000 21.018 Ho
0.000 0.000 11.952 Zn
0.000 0.000 5.877 Cu
0.000 0.000 18.027 Cu
0.000 0.000 0.000 Ni
```

The calculation puts the size of the total moment at 0.000 μB per formula unit. As for the space-group type: No. 166. The volume is 20.57 A^3/atom. For the electronic total energy, the calculation gives -4.5235 eV/atom.